1.
Here is a geometry-optimized NiOs2 structure from the Alexandria database. Energies are from PBE.

Calculated values
Its formation energy from the elements is 0.38 eV per formula unit.

```
12
Lattice="5.2765 0.0000 0.0039 0.0000 3.7526 0.0000 -2.6704 0.0000 8.0934" Properties=species:S:1:pos:R:3 pbc="T T T"
Ni 1.3255 0.0000 2.6653
Ni 1.2806 0.0000 5.4320
Ni -0.0097 1.8763 6.7120
Ni 2.6158 1.8763 1.3853
Os 3.9467 0.0000 2.7100
Os -1.3406 0.0000 5.3873
Os 2.6115 1.8763 6.7567
Os -0.0054 1.8763 1.3406
Os 3.9136 0.0000 0.0638
Os -1.3075 0.0000 8.0335
Os 2.5784 1.8763 4.1105
Os 0.0277 1.8763 3.9868
```

2.
Here is a geometry-optimized PBr2 structure from the Alexandria database. Energies are from PBE.

Calculated values
For the formation energy from raw total energies, the calculation gives 0.585 eV per atom.

```
3
Lattice="-6.6235 3.6474 -0.5142 -7.0966 -0.5111 -2.6107 6.1813 -2.5145 3.5926" Properties=species:S:1:pos:R:3 pbc="T T T"
Br -5.2419 1.1983 -1.1939
Br -8.4781 1.9380 -1.9309
P 0.0000 0.0000 0.0000
```